Run 1
CoCl3F | GGA+U | optimized geometry

Unit cell a=4.585 b=4.585 c=4.585 alpha=90.00 beta=90.00 gamma=90.00
Each line ends with the local moment (μB).
Atoms (fractional coordinates):
Cl1 0.000 0.500 0.000  0.02
Cl2 0.500 0.000 0.000  0.02
Cl3 0.000 0.000 0.500  0.01
Co1 0.500 0.500 0.500  2.66
F1 0.000 0.000 0.000  -0.01

Computed properties:
mass density = 3.18 g/cm³
calculated volume = 96 Å³/cell
symmetry = Pm-3m

***

Run 2
CoCl3F | GGA+U | optimized geometry

Unit cell a=4.672 b=4.672 c=4.672 alpha=90.00 beta=90.00 gamma=90.00
Each line ends with the local moment (μB).
Atoms (fractional coordinates):
Cl1 0.000 0.000 0.500  0.17
Cl2 0.500 0.000 0.000  0.55
F1 0.500 0.500 0.500  0.57
Co1 0.000 0.000 0.000  2.62
Cl3 0.000 0.500 0.000  0.29

Computed properties:
mass density = 3.00 g/cm³
calculated volume = 102 Å³/cell
symmetry = Pm-3m

***

Stability, highest: run 2

***

Run 1
Co2ClF | GGA+U | optimized geometry

Unit cell a=4.195 b=4.195 c=4.195 alpha=60.00 beta=60.00 gamma=60.00
Each line ends with the local moment (μB).
Atoms (fractional coordinates):
Co1 0.250 0.250 0.250  2.09
F1 0.000 0.000 0.000  0.07
Co2 0.750 0.750 0.750  2.09
Cl1 0.500 0.500 0.500  0.07

Computed properties:
mass density = 5.48 g/cm³
calculated volume = 52 Å³/cell
symmetry = Fm-3m

***

Run 2
Co2ClF | GGA+U | optimized geometry

Unit cell a=6.132 b=6.132 c=5.367 alpha=55.16 beta=55.16 gamma=90.00
Each line ends with the local moment (μB).
Atoms (fractional coordinates):
Cl1 0.750 0.250 0.500  0.03
Co1 0.587 0.125 0.250  1.96
F1 0.250 0.750 0.500  0.02
Co2 0.163 0.625 0.250  1.96
Co3 0.875 0.837 0.750  1.96
Cl2 0.000 0.000 0.000  0.03
Co4 0.375 0.413 0.750  1.97
F2 0.500 0.500 0.000  0.02

Computed properties:
mass density = 4.81 g/cm³
calculated volume = 119 Å³/cell
symmetry = I-42d

***

Stability, highest: run 2

***

Run 1
CoNClF2 | GGA+U | optimized geometry

Unit cell a=3.829 b=3.829 c=4.161 alpha=90.00 beta=90.00 gamma=90.00
Each line ends with the local moment (μB).
Atoms (fractional coordinates):
Co1 0.000 0.000 0.000  2.45
F1 0.000 0.500 0.000  0.03
N1 0.000 0.000 0.500  0.56
Cl1 0.500 0.500 0.500  -0.30
F2 0.500 0.000 0.000  0.03

Computed properties:
mass density = 3.99 g/cm³
calculated volume = 61 Å³/cell
symmetry = P4/mmm

***

Run 2
CoNClF2 | GGA+U | optimized geometry

Unit cell a=4.784 b=4.784 c=3.319 alpha=90.00 beta=90.00 gamma=90.00
Each line ends with the local moment (μB).
Atoms (fractional coordinates):
N1 0.000 0.000 0.500  0.01
Cl1 0.000 0.000 0.000  0.01
Co1 0.500 0.500 0.500  2.61
F1 0.500 0.000 0.000  0.03
F2 0.000 0.500 0.000  0.03

Computed properties:
mass density = 3.20 g/cm³
calculated volume = 76 Å³/cell
symmetry = P4/mmm

***

Stability, highest: run 1

***

Run 1
NaCoClF2 | GGA+U | optimized geometry

Unit cell a=5.587 b=5.587 c=6.631 alpha=114.92 beta=114.92 gamma=90.00
Each line ends with the local moment (μB).
Atoms (fractional coordinates):
Co1 0.005 0.005 0.010  2.77
F1 0.726 0.713 0.939  0.07
Cl1 0.728 0.728 0.457  0.04
F2 0.226 0.726 0.939  0.07
F3 0.713 0.213 0.939  0.07
Na1 0.328 0.828 0.656  0.00
F4 0.213 0.226 0.939  0.07
Cl2 0.228 0.228 0.457  0.04
Co2 0.505 0.505 0.010  2.77
Na2 0.828 0.328 0.656  0.00

Computed properties:
mass density = 3.10 g/cm³
calculated volume = 166 Å³/cell
symmetry = I4cm

***

Run 2
NaCoClF2 | GGA+U | optimized geometry

Unit cell a=4.010 b=4.010 c=5.063 alpha=90.00 beta=90.00 gamma=90.00
Each line ends with the local moment (μB).
Atoms (fractional coordinates):
Na1 0.500 0.500 0.500  0.00
F1 0.500 0.000 0.000  0.07
F2 0.000 0.500 0.000  0.07
Cl1 0.000 0.000 0.500  0.04
Co1 0.000 0.000 0.000  2.79

Computed properties:
mass density = 3.17 g/cm³
calculated volume = 81 Å³/cell
symmetry = P4/mmm

***

Stability, highest: run 1

***

Run 1
CoOsCl2F | GGA+U | optimized geometry

Unit cell a=5.207 b=3.857 c=5.207 alpha=90.00 beta=90.00 gamma=90.00
Each line ends with the local moment (μB).
Atoms (fractional coordinates):
Co1 0.500 0.500 0.500  2.32
Cl1 0.000 0.000 0.500  0.16
F1 0.000 0.000 0.000  0.14
Cl2 0.500 0.000 0.000  0.17
Os1 0.000 0.500 0.000  2.84

Computed properties:
mass density = 5.38 g/cm³
calculated volume = 105 Å³/cell
symmetry = P4/mmm

***

Run 2
CoOsCl2F | GGA+U | optimized geometry

Unit cell a=4.490 b=5.001 c=4.490 alpha=90.00 beta=90.00 gamma=90.00
Each line ends with the local moment (μB).
Atoms (fractional coordinates):
Co1 0.000 0.000 0.000  2.22
Cl1 0.000 0.000 0.500  0.11
Os1 0.000 0.500 0.000  3.32
Cl2 0.500 0.000 0.000  0.13
F1 0.500 0.500 0.500  0.16

Computed properties:
mass density = 5.58 g/cm³
calculated volume = 101 Å³/cell
symmetry = P4/mmm

***

Stability, highest: run 2

***

Run 1
CoSCl2F | GGA+U | optimized geometry

Unit cell a=4.666 b=4.723 c=4.666 alpha=90.00 beta=90.00 gamma=90.00
Each line ends with the local moment (μB).
Atoms (fractional coordinates):
Cl1 0.000 0.000 0.500  0.18
Co1 0.000 0.000 0.000  2.47
Cl2 0.500 0.000 0.000  0.27
S1 0.000 0.500 0.000  0.96
F1 0.500 0.500 0.500  0.49

Computed properties:
mass density = 2.92 g/cm³
calculated volume = 103 Å³/cell
symmetry = P4/mmm

***

Run 2
CoSCl2F | GGA+U | optimized geometry

Unit cell a=5.341 b=5.341 c=3.594 alpha=90.00 beta=90.00 gamma=90.00
Each line ends with the local moment (μB).
Atoms (fractional coordinates):
Co1 0.500 0.500 0.500  2.62
Cl1 0.500 0.000 0.000  0.05
S1 0.000 0.000 0.500  0.02
F1 0.000 0.000 0.000  0.00
Cl2 0.000 0.500 0.000  0.05

Computed properties:
mass density = 2.93 g/cm³
calculated volume = 103 Å³/cell
symmetry = P4/mmm

***

Stability, highest: run 1